DFT (PBE) results for U4ZnGa15 after structural relaxation.

Cell lengths 4.255, 4.255, 20.980 Å; angles 90.00, 90.00, 90.00 degrees
Element x y z (fractional)
U  0.000  0.000  0.102
U  0.000  0.000  0.307
U  0.000  0.000  0.693
U  0.000  0.000  0.898
Zn  0.000  0.000  0.500
Ga  0.000  0.500  0.000
Ga  0.000  0.500  0.204
Ga  0.000  0.500  0.410
Ga  0.000  0.500  0.590
Ga  0.000  0.500  0.796
Ga  0.500  0.000  0.000
Ga  0.500  0.000  0.204
Ga  0.500  0.000  0.410
Ga  0.500  0.000  0.590
Ga  0.500  0.000  0.796
Ga  0.500  0.500  0.101
Ga  0.500  0.500  0.300
Ga  0.500  0.500  0.500
Ga  0.500  0.500  0.700
Ga  0.500  0.500  0.899

- SG: P4/mmm (123)
- Calculated formation energy: -0.1628 eV per atom

DFT (PBE) results for Pr8GaGe3Te4 after structural relaxation.

Cell lengths 9.002, 9.002, 9.002 Å; angles 58.56, 58.56, 58.56 degrees
Element x y z (fractional)
Pr  0.240  0.745  0.745
Pr  0.241  0.241  0.241
Pr  0.255  0.255  0.760
Pr  0.255  0.760  0.255
Pr  0.745  0.240  0.745
Pr  0.745  0.745  0.240
Pr  0.759  0.759  0.759
Pr  0.760  0.255  0.255
Ga  0.500  0.500  0.500
Ge  0.000  0.000  0.500
Ge  0.000  0.500  0.000
Ge  0.500  0.000  0.000
Te  0.000  0.000  0.000
Te  0.000  0.500  0.500
Te  0.500  0.000  0.500
Te  0.500  0.500  0.000

- SG: R-3m (166)
- Raw formation energy: -1.145 eV/atom

DFT (PBE) results for TeC4Cl2F6 after structural relaxation.

Cell lengths 7.707, 7.707, 9.058 Å; angles 101.02, 101.02, 99.59 degrees
Element x y z (fractional)
Te  0.071  0.929  0.750
Te  0.929  0.071  0.250
C  0.074  0.676  0.813
C  0.075  0.453  0.211
C  0.324  0.926  0.687
C  0.453  0.075  0.711
C  0.547  0.925  0.289
C  0.676  0.074  0.313
C  0.925  0.547  0.789
C  0.926  0.324  0.187
Cl  0.077  0.244  0.524
Cl  0.244  0.077  0.024
Cl  0.756  0.923  0.976
Cl  0.923  0.756  0.476
F  0.075  0.607  0.166
F  0.235  0.652  0.886
F  0.238  0.441  0.281
F  0.348  0.765  0.614
F  0.393  0.925  0.334
F  0.441  0.238  0.781
F  0.559  0.762  0.219
F  0.607  0.075  0.666
F  0.652  0.235  0.386
F  0.762  0.559  0.719
F  0.765  0.348  0.114
F  0.925  0.393  0.834

- SG: C2/c (15)
- Raw formation energy: -0.778 eV/atom

DFT (PBE) results for GeSbTeI2 after structural relaxation.

Cell lengths 5.547, 5.547, 5.774 Å; angles 90.00, 90.00, 90.00 degrees
Element x y z (fractional)
Ge  0.000  0.000  0.000
Sb  0.500  0.500  0.500
Te  0.000  0.000  0.500
I  0.000  0.500  0.000
I  0.500  0.000  0.000

- SG: P4/mmm (123)
- Raw formation energy: 0.387 eV/atom

DFT (PBE) results for MgW2Cl after structural relaxation.

Cell lengths 3.197, 3.197, 8.707 Å; angles 90.00, 90.00, 90.00 degrees
Element x y z (fractional)
Mg  0.000  0.000  0.000
W  0.000  0.000  0.380
W  0.500  0.500  0.235
Cl  0.500  0.500  0.837

- SG: P4mm (99)
- Raw formation energy: 0.246 eV/atom

DFT (PBE) results for RbSn2W after structural relaxation.

Cell lengths 7.389, 7.389, 7.389 Å; angles 90.00, 90.00, 90.00 degrees
Element x y z (fractional)
Rb  0.000  0.000  0.000
Rb  0.000  0.500  0.500
Rb  0.500  0.000  0.500
Rb  0.500  0.500  0.000
Sn  0.250  0.250  0.250
Sn  0.250  0.250  0.750
Sn  0.250  0.750  0.250
Sn  0.250  0.750  0.750
Sn  0.750  0.250  0.250
Sn  0.750  0.250  0.750
Sn  0.750  0.750  0.250
Sn  0.750  0.750  0.750
W  0.000  0.000  0.500
W  0.000  0.500  0.000
W  0.500  0.000  0.000
W  0.500  0.500  0.500

- SG: Fm-3m (225)
- Calculated formation energy: 1.0083 eV per atom

DFT (PBE) results for GdOs2 after structural relaxation.

Cell lengths 5.321, 5.321, 8.963 Å; angles 90.00, 90.00, 120.00 degrees
Element x y z (fractional)
Gd  0.333  0.667  0.065
Gd  0.333  0.667  0.435
Gd  0.667  0.333  0.565
Gd  0.667  0.333  0.935
Os  0.000  0.000  0.000
Os  0.000  0.000  0.500
Os  0.171  0.342  0.750
Os  0.171  0.829  0.750
Os  0.342  0.171  0.250
Os  0.658  0.829  0.750
Os  0.829  0.171  0.250
Os  0.829  0.658  0.250

- SG: P6_3/mmc (194)
- Calculated formation energy: -0.2479 eV per atom

DFT (PBE) results for TlReC2 after structural relaxation.

Cell lengths 6.213, 6.213, 8.734 Å; angles 90.00, 90.00, 90.00 degrees
Element x y z (fractional)
Tl  0.000  0.000  0.000
Tl  0.000  0.500  0.250
Tl  0.500  0.000  0.750
Tl  0.500  0.500  0.500
Re  0.000  0.000  0.500
Re  0.000  0.500  0.750
Re  0.500  0.000  0.250
Re  0.500  0.500  0.000
C  0.001  0.750  0.625
C  0.250  0.001  0.375
C  0.250  0.499  0.875
C  0.499  0.750  0.125
C  0.501  0.250  0.125
C  0.750  0.501  0.875
C  0.750  0.999  0.375
C  0.999  0.250  0.625

- SG: I-42d (122)
- Calculated formation energy: 0.8738 eV per atom

What is the formula in the eighth record? TlReC2